Co2AgAu | Alexandria via LeMat-Bulk | GGA-PBE | optimized geometry; DFT total energy = -4.71 eV/atom; calculated formation energy = 1.495 eV per formula unit; DOS at the Fermi energy = 1.156 states/eV/atom
1.0
2.7203 -3.9011 0.0000
2.7203 3.9011 0.0000
0.0000 0.0000 2.7519
Co Ag Au
2 1 1
direct
0.0000 0.5000 0.0000
0.5000 0.0000 0.0000
0.0000 0.0000 0.5000
0.5000 0.5000 0.5000